Entry 1:
Below is an optimized crystal structure of La6Tb12Er, with properties calculated at the PBE-GGA level.

Cell: 10.0716 10.0716 10.0716 Å, 112.90 112.90 112.90°
Fractional coordinates of all 19 atoms:
Er 0.0000 0.0000 0.0000
Tb 0.8839 0.1161 0.5000
Tb 0.7719 0.0979 0.7719
Tb 0.8839 0.5000 0.1161
Tb 0.5000 0.8839 0.1161
Tb 0.9021 0.2281 0.2281
Tb 0.1161 0.5000 0.8839
Tb 0.2281 0.9021 0.2281
Tb 0.7719 0.7719 0.0979
Tb 0.5000 0.1161 0.8839
Tb 0.1161 0.8839 0.5000
Tb 0.2281 0.2281 0.9021
Tb 0.0979 0.7719 0.7719
La 0.3252 0.6221 0.3252
La 0.3252 0.3252 0.6221
La 0.6221 0.3252 0.3252
La 0.3779 0.6748 0.6748
La 0.6748 0.3779 0.6748
La 0.6748 0.6748 0.3779

Computed properties:
- Raw total energy: -4.412 eV per atom
- ΔE_f: 0.309 eV per atom
- Symmetry: No. 166
- Energy above the most stable polymorph in this dataset: 0.178 eV per atom
- Total moment: 0.0 μB/cell
- DOS at the Fermi energy: 29.36 states/eV/cell

Entry 2:
Below is an optimized crystal structure of La2Tb3Er7, with properties calculated at the PBE-GGA level.

Cell: 3.5127 6.3396 17.9226 Å, 75.62 90.00 90.00°
Fractional coordinates of all 12 atoms:
Er 0.0000 0.4373 0.8386
Er 0.0000 0.0000 0.0000
Er 0.5000 0.7570 0.4994
Er 0.5000 0.0642 0.1646
Er 0.0000 0.5627 0.1614
Er 0.5000 0.2430 0.5006
Er 0.5000 0.9358 0.8354
La 0.5000 0.6167 0.3264
La 0.5000 0.3833 0.6736
Tb 0.0000 0.1122 0.3426
Tb 0.0000 0.8878 0.6574
Tb 0.5000 0.5000 0.0000

Computed properties:
- Raw total energy: -4.550 eV per atom
- ΔE_f: 0.090 eV per atom
- Symmetry: No. 10
- Energy above the most stable polymorph in this dataset: 0.000 eV per atom
- Total moment: 0.0 μB/cell
- DOS at the Fermi energy: 18.51 states/eV/cell

Entry 3:
Below is an optimized crystal structure of LaTb3Er2, with properties calculated at the PBE-GGA level.

Cell: 3.6514 11.4173 11.1455 Å, 120.65 99.43 90.00°
Fractional coordinates of all 12 atoms:
Tb 0.3876 0.5133 0.7751
Tb 0.0552 0.6767 0.1103
Tb 0.6124 0.4867 0.2249
Tb 0.9448 0.3233 0.8897
Tb 0.7218 0.8437 0.4437
Tb 0.2782 0.1563 0.5563
Er 0.0586 0.1880 0.1171
Er 0.9414 0.8120 0.8829
Er 0.2768 0.6486 0.5537
Er 0.7232 0.3514 0.4463
La 0.6101 0.9862 0.2203
La 0.3899 0.0138 0.7797

Computed properties:
- Raw total energy: -4.636 eV per atom
- ΔE_f: 0.021 eV per atom
- Symmetry: No. 12
- Energy above the most stable polymorph in this dataset: 0.008 eV per atom
- Total moment: 0.0 μB/cell
- DOS at the Fermi energy: 19.99 states/eV/cell

Entry 4:
Below is an optimized crystal structure of LaTbEr14, with properties calculated at the PBE-GGA level.

Cell: 7.0859 7.0859 11.4003 Å, 90.00 90.00 119.93°
Fractional coordinates of all 16 atoms:
Er 0.5414 0.4586 0.0000
Er 0.3750 0.6250 0.2495
Er 0.3750 0.6250 0.7505
Er 0.5417 0.9573 0.0000
Er 0.8753 0.6260 0.2460
Er 0.7083 0.7918 0.5000
Er 0.8753 0.6260 0.7540
Er 0.2082 0.2917 0.5000
Er 0.0427 0.4583 0.0000
Er 0.0419 0.9581 0.0000
Er 0.8756 0.1244 0.7533
Er 0.3740 0.1247 0.7540
Er 0.8756 0.1244 0.2467
Er 0.3740 0.1247 0.2460
Tb 0.2080 0.7920 0.5000
La 0.7080 0.2920 0.5000

Computed properties:
- Raw total energy: -4.579 eV per atom
- ΔE_f: 0.011 eV per atom
- Symmetry: No. 38
- Total moment: 0.0 μB/cell
- DOS at the Fermi energy: 21.04 states/eV/cell

Among the records above, which one has the lowest raw total energy?
LaTb3Er2

Which of these has the highest ΔE_f?
La6Tb12Er

Number 3 is which compound?
LaTb3Er2